# 1
{
  "formula": "Dy2Zr3Pb4",
  "functional": "PBE",
  "state": "optimized geometry",
  "lattice": [[8.006, 0.000, 0.000], [0.000, 7.997, 0.000], [-2.799, 0.000, 7.318]],
  "species": ["Dy", "Dy", "Dy", "Dy", "Zr", "Zr", "Zr", "Zr", "Zr", "Zr", "Pb", "Pb", "Pb", "Pb", "Pb", "Pb", "Pb", "Pb"],
  "frac_coords": [[0.184, 0.171, 0.052], [0.184, 0.329, 0.552], [0.816, 0.671, 0.448], [0.816, 0.829, 0.948], [0.253, 0.671, 0.245], [0.253, 0.829, 0.745], [0.500, 0.000, 0.500], [0.500, 0.500, 0.000], [0.747, 0.171, 0.255], [0.747, 0.329, 0.755], [0.085, 0.535, 0.842], [0.085, 0.965, 0.342], [0.483, 0.142, 0.855], [0.483, 0.358, 0.355], [0.517, 0.642, 0.645], [0.517, 0.858, 0.145], [0.915, 0.035, 0.658], [0.915, 0.465, 0.158]],
  "energy_ev_per_atom": -5.895,
  "delta_e_f_ev_per_atom": -0.375,
  "spacegroup": "P2_1/c (14)"
}

***

# 2
{
  "formula": "CaCuPd",
  "functional": "PBE",
  "state": "optimized geometry",
  "lattice": [[0.000, 3.778, 4.729], [3.551, 0.000, 4.729], [3.551, 3.778, 0.000]],
  "species": ["Ca", "Ca", "Cu", "Cu", "Pd", "Pd"],
  "frac_coords": [[0.250, 0.250, 0.750], [0.750, 0.750, 0.250], [0.250, 0.750, 0.250], [0.750, 0.250, 0.750], [0.249, 0.751, 0.751], [0.751, 0.249, 0.249]],
  "polymorph_energy_ev_per_atom": 0.252,
  "energy_ev_per_atom": -4.014,
  "delta_e_f_ev_per_atom": -0.250,
  "spacegroup": "Fmmm (69)"
}

***

# 3
{
  "formula": "Ti5In2Sn",
  "functional": "PBE",
  "state": "optimized geometry",
  "lattice": [[-3.623, 3.623, 5.828], [3.623, -3.623, 5.828], [3.623, 3.623, -5.828]],
  "species": ["Ti", "Ti", "Ti", "Ti", "Ti", "Ti", "Ti", "Ti", "Ti", "Ti", "In", "In", "In", "In", "Sn", "Sn"],
  "frac_coords": [[0.000, 0.000, 0.000], [0.013, 0.513, 0.197], [0.184, 0.987, 0.500], [0.316, 0.816, 0.803], [0.487, 0.684, 0.500], [0.500, 0.500, 0.000], [0.513, 0.316, 0.500], [0.684, 0.184, 0.197], [0.816, 0.013, 0.500], [0.987, 0.487, 0.803], [0.146, 0.354, 0.500], [0.354, 0.854, 0.209], [0.646, 0.146, 0.791], [0.854, 0.646, 0.500], [0.250, 0.250, 0.000], [0.750, 0.750, 0.000]],
  "polymorph_energy_ev_per_atom": 0.114,
  "energy_ev_per_atom": -6.228,
  "delta_e_f_ev_per_atom": -0.109,
  "spacegroup": "I4/mcm (140)"
}

***

# 4
{
  "formula": "Li2CdPd5",
  "functional": "PBE",
  "state": "optimized geometry",
  "lattice": [[-2.805, 2.805, 3.883], [2.805, -2.805, 3.883], [2.805, 2.805, -3.883]],
  "species": ["Li", "Li", "Cd", "Pd", "Pd", "Pd", "Pd", "Pd"],
  "frac_coords": [[0.000, 0.500, 0.500], [0.500, 0.000, 0.500], [0.000, 0.000, 0.000], [0.000, 0.000, 0.500], [0.000, 0.500, 0.000], [0.500, 0.000, 0.000], [0.500, 0.500, 0.000], [0.500, 0.500, 0.500]],
  "polymorph_energy_ev_per_atom": 0.000,
  "energy_ev_per_atom": -4.190,
  "delta_e_f_ev_per_atom": -0.351,
  "spacegroup": "I4/mmm (139)"
}

***

# 5
{
  "formula": "PmScHgPt",
  "functional": "PBE",
  "state": "optimized geometry",
  "lattice": [[0.000, 3.564, 3.564], [3.564, 0.000, 3.564], [3.564, 3.564, 0.000]],
  "species": ["Pm", "Sc", "Hg", "Pt"],
  "frac_coords": [[0.000, 0.000, 0.000], [0.500, 0.500, 0.500], [0.750, 0.750, 0.750], [0.250, 0.250, 0.250]],
  "energy_ev_per_atom": -5.067,
  "delta_e_f_ev_per_atom": -0.711,
  "spacegroup": "F-43m (216)"
}

***

# 6
{
  "formula": "LiBF3",
  "functional": "PBE",
  "state": "optimized geometry",
  "lattice": [[3.685, 0.000, 0.000], [0.000, 3.685, 0.000], [0.000, 0.000, 3.685]],
  "species": ["Li", "B", "F", "F", "F"],
  "frac_coords": [[0.000, 0.000, 0.000], [0.500, 0.500, 0.500], [0.000, 0.500, 0.500], [0.500, 0.000, 0.500], [0.500, 0.500, 0.000]],
  "polymorph_energy_ev_per_atom": 0.580,
  "e_form_raw_kj_per_mol_atoms": -142.8,
  "energy_ev_per_atom": -4.321,
  "spacegroup": "Pm-3m (221)"
}

***

# 7
{
  "formula": "LiErTl2",
  "functional": "PBE",
  "state": "optimized geometry",
  "lattice": [[3.584, 0.000, 0.000], [0.000, 3.584, 0.000], [0.000, 0.000, 7.375]],
  "species": ["Li", "Er", "Tl", "Tl"],
  "frac_coords": [[0.000, 0.000, 0.000], [0.000, 0.000, 0.500], [0.500, 0.500, 0.219], [0.500, 0.500, 0.781]],
  "polymorph_energy_ev_per_atom": 0.025,
  "energy_ev_per_atom": -3.077,
  "delta_e_f_ev_per_atom": -0.275,
  "spacegroup": "P4/mmm (123)"
}

***

# 8
{
  "formula": "MgCl2",
  "functional": "PBE",
  "state": "optimized geometry",
  "lattice": [[-1.622, 1.622, 14.427], [1.622, -1.622, 14.427], [1.622, 1.622, -14.427]],
  "species": ["Mg", "Mg", "Cl", "Cl", "Cl", "Cl"],
  "frac_coords": [[0.375, 0.625, 0.750], [0.625, 0.375, 0.250], [0.073, 0.823, 0.250], [0.177, 0.927, 0.250], [0.823, 0.073, 0.750], [0.927, 0.177, 0.750]],
  "e_form_raw_kj_per_mol_atoms": -137.9,
  "energy_ev_per_atom": -3.192,
  "spacegroup": "I4_1/amd (141)"
}